A plane-wave DFT calculation with PBE-GGA was carried out for ReTcPb after structural relaxation.

Its offset from the most stable computed form is 106 meV/atom.

```
ReTcPb
1.0
2.974 0.000 0.000
-1.487 2.576 0.000
0.000 0.000 7.145
Re Tc Pb
1 1 1
Cartesian
0.000 0.000 0.000
1.487 0.859 1.953
0.000 1.717 4.527
```



A plane-wave DFT calculation with PBE-GGA was carried out for La3SmDy2Se6 after structural relaxation.

The energy relative to the elements, uncorrected comes out at -1.89 eV per atom.

```
La3SmDy2Se6
1.0
3.623 -6.296 0.000
3.623 6.296 0.000
-2.425 0.000 6.934
La Sm Dy Se
3 1 2 6
Cartesian
0.000 0.000 0.000
3.623 2.066 0.000
3.623 -2.066 0.000
2.410 0.000 3.467
2.410 4.198 3.467
2.410 -4.198 3.467
1.186 2.134 1.840
-0.049 0.000 5.078
1.186 -2.134 1.840
3.635 2.134 5.095
4.869 0.000 1.856
3.635 -2.134 5.095
```



A plane-wave DFT calculation with PBE-GGA was carried out for PmHo2Te4 after structural relaxation.

The energy relative to the elements, uncorrected comes out at -1.39 eV per atom. Its offset from the most stable computed form is 0 meV/atom.

```
PmHo2Te4
1.0
8.277 -2.183 0.000
8.277 2.183 0.000
-3.409 0.000 6.752
Pm Ho Te
1 2 4
Cartesian
0.000 0.000 0.000
3.307 0.000 1.810
9.839 0.000 4.942
0.507 0.000 3.104
5.971 0.000 0.201
7.174 0.000 6.551
12.639 0.000 3.648
```



A plane-wave DFT calculation with PBE-GGA was carried out for RbSnHg after structural relaxation.

Its offset from the most stable computed form is 0 meV/atom.

```
RbSnHg
1.0
4.996 0.000 0.000
0.000 5.504 0.000
0.000 0.000 8.685
Rb Sn Hg
2 2 2
Cartesian
0.000 0.000 0.000
2.498 0.000 4.342
0.000 2.752 2.940
0.000 2.752 5.745
2.498 2.752 1.467
2.498 2.752 7.218
```



A plane-wave DFT calculation with PBE-GGA was carried out for KNd2Ir after structural relaxation.

The calculation puts the total energy at -5.16 eV/atom.

```
KNd2Ir
1.0
2.116 1.221 11.314
-2.116 1.221 11.314
0.000 -2.443 11.314
K Nd Ir
1 2 1
Cartesian
0.000 0.000 0.000
0.000 0.000 4.206
0.000 0.000 29.736
0.000 0.000 16.971
```



A plane-wave DFT calculation with PBE-GGA was carried out for Zr2ScGa after structural relaxation.

The calculation puts the total energy at -6.55 eV/atom.

```
Zr2ScGa
1.0
-3.957 3.957 2.837
3.957 -3.957 2.837
3.957 3.957 -2.837
Zr Sc Ga
4 2 2
Cartesian
5.936 1.765 -0.709
1.765 1.979 0.709
-1.979 2.192 2.128
2.192 1.979 3.546
3.957 0.000 1.418
0.000 0.000 2.837
0.000 0.000 0.000
0.000 3.957 1.418
```



A plane-wave DFT calculation with PBE-GGA was carried out for ScCd2H after structural relaxation.

Its offset from the most stable computed form is 460 meV/atom.

```
ScCd2H
1.0
0.000 3.388 3.388
3.388 0.000 3.388
3.388 3.388 0.000
Sc Cd H
1 2 1
Cartesian
0.000 0.000 0.000
1.694 1.694 1.694
5.082 5.082 5.082
3.388 3.388 3.388
```



A plane-wave DFT calculation with PBE-GGA was carried out for TbPmTlIr after structural relaxation.

Its offset from the most stable computed form is 0 meV/atom.

```
TbPmTlIr
1.0
3.513 0.000 0.000
0.000 3.513 0.000
0.000 0.000 8.164
Tb Pm Tl Ir
1 1 1 1
Cartesian
0.000 0.000 0.000
0.000 0.000 3.358
1.756 1.756 5.813
1.756 1.756 1.601
```



A plane-wave DFT calculation with PBE-GGA was carried out for K2OsSe after structural relaxation.

The energy relative to the elements, uncorrected comes out at 0.61 eV per atom.

```
K2OsSe
1.0
2.918 0.000 0.000
0.000 2.918 0.000
0.000 0.000 10.567
K Os Se
2 1 1
Cartesian
0.000 0.000 2.593
0.000 0.000 7.973
1.459 1.459 5.283
1.459 1.459 0.000
```



A plane-wave DFT calculation with PBE-GGA was carried out for Nd6Dy2Er5 after structural relaxation.

The calculation puts the total energy at -4.56 eV/atom.

```
Nd6Dy2Er5
1.0
11.702 0.000 0.000
0.000 20.518 0.000
0.000 0.000 3.620
Nd Dy Er
12 4 10
Cartesian
0.701 1.636 0.000
0.972 7.523 0.000
2.023 12.994 1.810
3.828 2.736 1.810
4.879 17.781 0.000
5.149 11.895 0.000
6.552 8.623 0.000
6.823 2.736 0.000
7.874 17.782 1.810
9.679 7.523 1.810
10.729 12.995 0.000
11.000 18.882 0.000
1.930 16.185 0.000
3.921 5.927 0.000
7.781 14.591 0.000
9.772 4.332 0.000
0.000 10.259 1.810
1.100 4.633 1.810
2.322 19.368 1.810
3.529 9.110 1.810
4.751 14.891 1.810
5.851 0.000 1.810
6.951 5.626 1.810
8.172 11.408 1.810
9.380 1.149 1.810
10.602 15.885 1.810
```



A plane-wave DFT calculation with PBE-GGA was carried out for K2RbBr2 after structural relaxation.

The energy relative to the elements, uncorrected comes out at -1.25 eV per atom. Its offset from the most stable computed form is 29 meV/atom.

```
K2RbBr2
1.0
9.416 0.000 0.000
0.000 9.416 0.000
0.000 0.000 4.737
K Rb Br
4 2 4
Cartesian
1.402 3.306 0.000
3.306 8.014 0.000
6.110 1.402 0.000
8.014 6.110 0.000
0.000 0.000 2.369
4.708 4.708 2.369
1.450 6.158 2.369
3.258 1.450 2.369
6.158 7.966 2.369
7.966 3.258 2.369
```



A plane-wave DFT calculation with PBE-GGA was carried out for PrSm5Cu6 after structural relaxation.

The calculation puts the total energy at -4.58 eV/atom.

```
PrSm5Cu6
1.0
2.529 -7.580 0.000
2.529 7.580 0.000
0.000 0.000 7.064
Pr Sm Cu
1 5 6
Cartesian
0.000 0.000 0.000
0.000 0.000 3.532
2.529 2.541 0.000
2.529 2.518 3.532
2.529 -2.518 3.532
2.529 -2.541 0.000
2.529 5.021 1.792
2.529 5.021 5.272
2.529 0.000 1.811
2.529 0.000 5.252
2.529 -5.021 1.792
2.529 -5.021 5.272
```



Density of states at the Fermi level values, unit states/eV/f.u., following the record order: 2.168, 6.407, 3.008, 1.547, 3.482, 5.275, 3.682, 3.079, 2.168, 15.513, 1.258, 8.261.
M_tot values, unit μB per formula unit, following the record order: 0.00, 0.00, 0.00, 0.00, 0.00, 0.00, 0.04, 0.00, 0.41, 0.00, 0.00, 0.00.